No. 1
The following is a PBE-GGA calculation of a geometry-optimized Y6C2S3Cl structure, from Alexandria via LeMat-Bulk. Values from VASP.

Structure (Quantum ESPRESSO input):
```
&SYSTEM
  ibrav = 0, nat = 12, ntyp = 4
/
ATOMIC_SPECIES
Y 88.91 Y.upf
C 12.01 C.upf
S 32.06 S.upf
Cl 35.45 Cl.upf
CELL_PARAMETERS angstrom
8.346 -1.884 0.000
8.346 1.884 0.000
-1.720 0.000 7.628
ATOMIC_POSITIONS angstrom
Y -0.148 0.000 2.112
Y 3.900 0.000 6.651
Y 4.672 0.000 3.325
Y 10.301 0.000 4.303
Y 11.073 0.000 0.977
Y 15.121 0.000 5.516
C 2.242 0.000 2.541
C 12.730 0.000 5.087
S 1.197 0.000 6.393
S 7.486 0.000 3.814
S 13.776 0.000 1.235
Cl 8.346 0.000 0.000
```

Output
formation energy (no corrections): -17.42 eV/f.u.
DOS(E_F): 2.939 states/eV/f.u.
magnetization: 0.00 μB per formula unit
E_tot: -7.406 eV/atom
SG: No. 12

No. 2
The following is a PBE-GGA calculation of a geometry-optimized YCS2Cl structure, from Alexandria via LeMat-Bulk. Values from VASP.

Structure (Quantum ESPRESSO input):
```
&SYSTEM
  ibrav = 0, nat = 5, ntyp = 4
/
ATOMIC_SPECIES
Y 88.91 Y.upf
C 12.01 C.upf
S 32.06 S.upf
Cl 35.45 Cl.upf
CELL_PARAMETERS angstrom
4.306 0.000 0.000
0.000 4.306 0.000
0.000 0.000 4.380
ATOMIC_POSITIONS angstrom
Y 0.000 0.000 0.000
C 2.153 2.153 2.190
S 0.000 2.153 2.190
S 2.153 0.000 2.190
Cl 2.153 2.153 0.000
```

Output
formation energy (no corrections): 0.09 eV/f.u.
DOS(E_F): 1.403 states/eV/f.u.
offset from the most stable computed form: 0 meV per atom
magnetization: 0.24 μB per formula unit
E_tot: -5.141 eV/atom
SG: No. 123